Compound: K2ZrSe
Source: Alexandria
Functional: PBE
Structure: relaxed

## Properties
raw total energy = -15.410 eV per cell
calculated volume = 36.52 A^3/atom
magnetization = 2.0 Bohr magnetons per cell

a = 3.7010 Å, b = 3.7010 Å, c = 10.6655 Å
α = 90.00°, β = 90.00°, γ = 90.00°
Space group P4mm (No. 99)
One atom of each set of equivalent atoms:
K1 0.0000 0.0000 0.0000 [1 per cell]
K2 0.5000 0.5000 0.3820 [1 per cell]
Zr1 0.5000 0.5000 0.7232 [1 per cell]
Se1 0.0000 0.0000 0.6327 [1 per cell]

Compound: CoPb2W2
Source: Alexandria
Functional: PBE
Structure: relaxed

## Properties
formation energy from the elements = 1.122 eV per atom
calculated volume = 22.04 A^3/atom
ΔE to the lowest computed polymorph = 0.000 eV/f.u.
magnetization = 3.8 Bohr magnetons per cell

a = 3.5871 Å, b = 3.5871 Å, c = 17.1313 Å
α = 90.00°, β = 90.00°, γ = 90.00°
Space group I4/mmm (No. 139)
One atom of each set of equivalent atoms:
Co1 0.0000 0.0000 0.0000 [2 per cell]
Pb1 0.0000 0.0000 0.4002 [4 per cell]
W1 0.0000 0.5000 0.2500 [4 per cell]

Compound: CeEr2Zn2In2
Source: Alexandria
Functional: PBE
Structure: relaxed

## Properties
formation energy from the elements = -0.232 eV per atom
calculated volume = 25.23 A^3/atom
magnetization = 3.7 Bohr magnetons per cell

a = 4.7249 Å, b = 4.7249 Å, c = 27.4097 Å
α = 90.00°, β = 90.00°, γ = 120.00°
Space group R-3m (No. 166, hexagonal axes)
One atom of each set of equivalent atoms:
Ce1 0.0000 0.0000 0.0000 [3 per cell]
Er1 0.0000 0.0000 0.1284 [6 per cell]
Zn1 0.0000 0.0000 0.4008 [6 per cell]
In1 0.0000 0.0000 0.2588 [6 per cell]

Compound: SbIr2W
Source: Alexandria
Functional: PBE
Structure: relaxed

## Properties
raw total energy = -34.345 eV per cell
calculated volume = 16.54 A^3/atom
magnetization = 0.0 Bohr magnetons per cell

a = 2.9538 Å, b = 3.9409 Å, c = 5.6824 Å
α = 90.00°, β = 90.08°, γ = 90.00°
Space group P2/m (No. 10)
One atom of each set of equivalent atoms:
Sb1 0.0000 0.0000 0.0000 [1 per cell]
Ir1 0.4990 0.5000 0.7335 [2 per cell]
W1 0.0000 0.0000 0.5000 [1 per cell]